The following is a DFT calculation (GGA-PBE) of a relaxed Hf2CdAg crystal.

Unit cell a=4.369 b=4.314 c=4.314 alpha=90.00 beta=90.00 gamma=90.00
Element x y z (fractional)
Hf1 0.000 0.000 0.500
Hf2 0.000 0.500 0.000
Ag1 0.500 0.500 0.500
Cd1 0.500 0.000 0.000

Computed properties:
Density of states at the Fermi level = 3.673 states/eV/cell
Total moment = 0.1634 μB per atom
V = 81 Å³/f.u.
Space-group type = P4/mmm (123)
Formation energy from the elements = 0.057 eV per atom
Uncorrected energy = -5.8615 eV per atom